Version i
DFT (GGA-PBE) results for a relaxed ScBeTc3 crystal.

Cell lengths 4.2349, 4.2349, 4.2349 Å; angles 90.00, 90.00, 90.00 degrees
With the nearest neighbours (Å) after each atom.
Space group Pm-3m (No. 221)
Symmetry-distinct sites (fractional):
Sc1 0.0000 0.0000 0.0000 (multiplicity 1)  12 Tc 2.99
Be1 0.5000 0.5000 0.5000 (multiplicity 1)  6 Tc 2.12
Tc1 0.0000 0.5000 0.5000 (multiplicity 3)  2 Be 2.12

***

Version ii
DFT (GGA-PBE) results for a relaxed ScBeTc3 crystal.

Cell lengths 4.5596, 4.5596, 4.5596 Å; angles 90.00, 90.00, 90.00 degrees
With the nearest neighbours (Å) after each atom.
Space group Pm-3m (No. 221)
Symmetry-distinct sites (fractional):
Sc1 0.0000 0.0000 0.0000 (multiplicity 1)  6 Tc 2.28
Be1 0.5000 0.5000 0.5000 (multiplicity 1)  12 Tc 3.22
Tc1 0.0000 0.0000 0.5000 (multiplicity 3)  2 Sc 2.28

***

Most stable to least stable, the ends of the list are version i and version ii.

***

Version i
DFT (GGA-PBE) results for a relaxed ScBe2Tc2 crystal.

Cell lengths 6.2766, 6.2766, 3.2225 Å; angles 90.00, 90.00, 90.00 degrees
With the nearest neighbours (Å) after each atom.
Space group P4/mbm (No. 127)
Symmetry-distinct sites (fractional):
Sc1 0.0000 0.0000 0.0000 (multiplicity 2)  4 Be 2.52
Be1 0.1147 0.3853 0.0000 (multiplicity 4)  1 Be 2.04
Tc1 0.1719 0.6719 0.5000 (multiplicity 4)  6 Be 2.44-2.49

***

Version ii
DFT (GGA-PBE) results for a relaxed ScBe2Tc2 crystal.

Cell lengths 7.2527, 7.2527, 2.5750 Å; angles 90.00, 90.00, 90.00 degrees
With the nearest neighbours (Å) after each atom.
Space group P4/mbm (No. 127)
Symmetry-distinct sites (fractional):
Sc1 0.0000 0.0000 0.0000 (multiplicity 2)  2 Sc 2.58, 4 Tc 2.86
Be1 0.1687 0.3313 0.5000 (multiplicity 4)  6 Tc 2.47-2.52, 2 Be 2.58
Tc1 0.1263 0.6263 0.0000 (multiplicity 4)  6 Be 2.47-2.52, 3 Tc 2.58-2.59

***

Most stable to least stable, the ends of the list are version i and version ii.

***

Version i
DFT (GGA-PBE) results for a relaxed Sc3BeTc crystal.

Cell lengths 4.9594, 4.9594, 4.9594 Å; angles 90.00, 90.00, 90.00 degrees
With the nearest neighbours (Å) after each atom.
Space group Pm-3m (No. 221)
Symmetry-distinct sites (fractional):
Sc1 0.0000 0.0000 0.5000 (multiplicity 3)  2 Tc 2.48
Be1 0.5000 0.5000 0.5000 (multiplicity 1)  12 Sc 3.51
Tc1 0.0000 0.0000 0.0000 (multiplicity 1)  6 Sc 2.48

***

Version ii
DFT (GGA-PBE) results for a relaxed Sc3BeTc crystal.

Cell lengths 4.6544, 4.6544, 4.6544 Å; angles 90.00, 90.00, 90.00 degrees
With the nearest neighbours (Å) after each atom.
Space group Pm-3m (No. 221)
Symmetry-distinct sites (fractional):
Sc1 0.0000 0.0000 0.5000 (multiplicity 3)  2 Be 2.33
Be1 0.0000 0.0000 0.0000 (multiplicity 1)  6 Sc 2.33
Tc1 0.5000 0.5000 0.5000 (multiplicity 1)  12 Sc 3.29

***

Most stable to least stable, the ends of the list are version i and version ii.